Below is an optimized crystal structure of SrMnFeAs2, with properties calculated at the PBE level.

Its formation energy is -2.86 eV per formula unit.

Structure (POSCAR):
```
SrMnFeAs2
1.0
4.000 0.000 0.000
0.000 4.000 0.000
0.000 0.000 12.410
Sr Mn Fe As
2 2 2 4
Cartesian
0.000 0.000 0.000 Sr
2.000 2.000 6.205 Sr
0.000 2.000 9.307 Mn
2.000 0.000 3.102 Mn
0.000 2.000 3.102 Fe
2.000 0.000 9.307 Fe
0.000 0.000 4.476 As
0.000 0.000 7.934 As
2.000 2.000 1.729 As
2.000 2.000 10.681 As
```


Below is an optimized crystal structure of TiMnFeAs2, with properties calculated at the PBE level.

Its formation energy is 2.69 eV per formula unit.

Structure (POSCAR):
```
TiMnFeAs2
1.0
4.521 0.000 0.000
0.000 4.521 0.000
0.000 0.000 4.421
Ti Mn Fe As
1 1 1 2
Cartesian
0.000 0.000 0.000 Ti
2.260 2.260 2.211 Mn
2.260 2.260 0.000 Fe
0.000 2.260 2.211 As
2.260 0.000 2.211 As
```


Below is an optimized crystal structure of Y2MnFeAs, with properties calculated at the PBE level.

Its formation energy is 1.25 eV per formula unit.

Structure (POSCAR):
```
Y2MnFeAs
1.0
5.389 0.000 0.000
0.000 5.389 0.000
0.000 0.000 4.476
Y Mn Fe As
2 1 1 1
Cartesian
0.000 2.694 0.000 Y
2.694 0.000 0.000 Y
0.000 0.000 2.238 Mn
2.694 2.694 2.238 Fe
0.000 0.000 0.000 As
```


Below is an optimized crystal structure of FeMo3As4, with properties calculated at the PBE level.

Its formation energy is -1.63 eV per formula unit.

Structure (POSCAR):
```
FeMo3As4
1.0
5.994 0.000 0.000
0.000 3.354 0.000
-0.024 0.000 6.406
Fe Mo As
1 3 4
Cartesian
0.000 0.000 0.000 Fe
0.139 1.677 2.419 Mo
2.988 0.000 5.565 Mo
3.088 1.677 3.180 Mo
1.163 1.677 4.891 As
1.908 0.000 1.549 As
4.286 1.677 0.725 As
4.896 0.000 3.932 As
```


Below is an optimized crystal structure of FeMo2As2, with properties calculated at the PBE level.

Its formation energy is 3.11 eV per formula unit. The polymorph energy (0 for the lowest one) comes out at 465 meV per atom.

Structure (POSCAR):
```
FeMo2As2
1.0
4.311 0.000 0.000
0.000 4.311 0.000
0.000 0.000 9.465
Fe Mo As
2 4 4
Cartesian
0.000 0.000 0.000 Fe
2.156 2.156 4.733 Fe
0.000 2.156 2.366 Mo
0.000 2.156 7.099 Mo
2.156 0.000 2.366 Mo
2.156 0.000 7.099 Mo
0.000 0.000 3.568 As
0.000 0.000 5.897 As
2.156 2.156 1.165 As
2.156 2.156 8.301 As
```


Below is an optimized crystal structure of FeMoAs4, with properties calculated at the PBE level.

Its formation energy is 5.48 eV per formula unit.

Structure (POSCAR):
```
FeMoAs4
1.0
0.000 3.767 3.767
3.767 0.000 3.767
3.767 3.767 0.000
Fe Mo As
1 1 4
Cartesian
0.000 0.000 0.000 Fe
5.651 5.651 5.651 Mo
2.828 2.828 2.828 As
4.707 4.707 2.828 As
4.707 2.828 4.707 As
2.828 4.707 4.707 As
```


Below is an optimized crystal structure of FeMo3As, with properties calculated at the PBE level.

Its formation energy is 7.99 eV per formula unit. The polymorph energy (0 for the lowest one) comes out at 448 meV per atom.

Structure (POSCAR):
```
FeMo3As
1.0
4.546 0.000 0.000
0.000 4.546 0.000
0.000 0.000 4.546
Fe Mo As
1 3 1
Cartesian
0.000 0.000 0.000 Fe
0.000 2.273 2.273 Mo
2.273 0.000 2.273 Mo
2.273 2.273 0.000 Mo
2.273 2.273 2.273 As
```


Below is an optimized crystal structure of FeMoAs3, with properties calculated at the PBE level.

Its formation energy is 4.07 eV per formula unit. The polymorph energy (0 for the lowest one) comes out at 0 meV per atom.

Structure (POSCAR):
```
FeMoAs3
1.0
4.568 0.000 0.000
0.000 4.568 0.000
0.000 0.000 4.568
Fe Mo As
1 1 3
Cartesian
0.000 0.000 0.000 Fe
2.284 2.284 2.284 Mo
0.000 0.000 2.284 As
0.000 2.284 0.000 As
2.284 0.000 0.000 As
```


Record-wise density of states at the Fermi level values, in states/eV/f.u.: 3.64, 5.59, 8.02, 5.65, 7.98, 4.94, 9.31, 2.49